Entry one
Below is CsBa3Co after structural relaxation, with properties calculated at the PBE-GGA level. Values from VASP.

Summary:
crystal system	cubic
density	3.88	g cm⁻³
total magnetic moment	0.001	μB per formula unit
space group	Pm-3m (221)

Cell and atoms, written as Quantum ESPRESSO input:
```
&SYSTEM
  ibrav = 0, nat = 5, ntyp = 3
/
ATOMIC_SPECIES
Ba 137.33 Ba.upf
Co 58.93 Co.upf
Cs 132.91 Cs.upf
ATOMIC_POSITIONS angstrom
Ba -1.534 -0.234 2.780
Co 0.000 0.000 0.000
Ba -0.058 -3.169 -0.298
Cs -4.380 -3.209 0.959
Ba -2.789 0.194 -1.523
CELL_PARAMETERS angstrom
-5.578 0.388 -3.045
-0.115 -6.338 -0.597
-3.067 -0.468 5.560
```

---

Entry two
Below is CsBa3Co after structural relaxation, with properties calculated at the PBE-GGA level. Values from VASP.

Summary:
crystal system	cubic
density	3.71	g cm⁻³
total magnetic moment	2.157	μB per formula unit
space group	Pm-3m (221)

Cell and atoms, written as Quantum ESPRESSO input:
```
&SYSTEM
  ibrav = 0, nat = 5, ntyp = 3
/
ATOMIC_SPECIES
Cs 132.91 Cs.upf
Ba 137.33 Ba.upf
Co 58.93 Co.upf
ATOMIC_POSITIONS angstrom
Cs 0.000 0.000 0.000
Ba -2.319 -2.183 -0.555
Ba 0.629 -1.392 2.849
Co -3.853 -1.639 3.718
Ba -2.163 1.936 1.423
CELL_PARAMETERS angstrom
-4.325 3.872 2.846
-4.638 -4.366 -1.109
1.257 -2.784 5.698
```

---

Most stable: entry one

---

Entry one
Below is CsBaCo3 after structural relaxation, with properties calculated at the PBE-GGA level. Values from VASP.

Summary:
crystal system	cubic
density	3.39	g cm⁻³
total magnetic moment	6.002	μB per formula unit
space group	Pm-3m (221)

Cell and atoms, written as Quantum ESPRESSO input:
```
&SYSTEM
  ibrav = 0, nat = 5, ntyp = 3
/
ATOMIC_SPECIES
Co 58.93 Co.upf
Cs 132.91 Cs.upf
Ba 137.33 Ba.upf
ATOMIC_POSITIONS angstrom
Co -1.412 0.978 2.477
Cs -0.100 -2.483 4.592
Ba 0.000 0.000 0.000
Co 2.421 -0.696 1.655
Co -1.109 -2.765 0.460
CELL_PARAMETERS angstrom
-2.219 -5.530 0.919
4.842 -1.393 3.310
-2.824 1.957 4.954
```

---

Entry two
Below is CsBaCo3 after structural relaxation, with properties calculated at the PBE-GGA level. Values from VASP.

Summary:
crystal system	cubic
density	6.02	g cm⁻³
total magnetic moment	1.970	μB per formula unit
space group	Pm-3m (221)

Cell and atoms, written as Quantum ESPRESSO input:
```
&SYSTEM
  ibrav = 0, nat = 5, ntyp = 3
/
ATOMIC_SPECIES
Cs 132.91 Cs.upf
Ba 137.33 Ba.upf
Co 58.93 Co.upf
ATOMIC_POSITIONS angstrom
Cs 0.000 0.000 0.000
Ba 2.489 2.489 2.489
Co 0.000 2.489 0.000
Co 2.489 0.000 0.000
Co 0.000 0.000 2.489
CELL_PARAMETERS angstrom
4.977 0.000 0.000
0.000 4.977 0.000
0.000 0.000 4.977
```

---

Most stable: entry one

---

Entry one
Below is BaCoCu2 after structural relaxation, with properties calculated at the PBE-GGA level. Values from VASP.

Summary:
crystal system	tetragonal
density	7.06	g cm⁻³
total magnetic moment	0.947	μB per formula unit
space group	I4/mmm (139)

Cell and atoms, written as Quantum ESPRESSO input:
```
&SYSTEM
  ibrav = 0, nat = 4, ntyp = 3
/
ATOMIC_SPECIES
Cu 63.55 Cu.upf
Co 58.93 Co.upf
Ba 137.33 Ba.upf
ATOMIC_POSITIONS angstrom
Cu -0.155 -4.060 1.941
Co -1.735 -1.456 2.040
Cu 0.000 0.000 0.000
Ba 1.134 -1.352 2.485
CELL_PARAMETERS angstrom
-3.024 -4.164 1.496
2.715 -3.956 2.386
-0.292 5.312 0.643
```

---

Entry two
Below is BaCoCu2 after structural relaxation, with properties calculated at the PBE-GGA level. Values from VASP.

Summary:
crystal system	orthorhombic
density	6.89	g cm⁻³
total magnetic moment	1.002	μB per formula unit
space group	Cmmm (65)

Cell and atoms, written as Quantum ESPRESSO input:
```
&SYSTEM
  ibrav = 0, nat = 4, ntyp = 3
/
ATOMIC_SPECIES
Ba 137.33 Ba.upf
Cu 63.55 Cu.upf
Co 58.93 Co.upf
ATOMIC_POSITIONS angstrom
Ba 0.689 2.903 0.171
Cu -1.600 4.132 1.648
Cu 0.000 0.000 0.000
Co 2.306 1.104 1.551
CELL_PARAMETERS angstrom
4.595 -0.125 0.073
-3.218 5.932 0.269
0.017 2.333 3.028
```

---

Entry three
Below is BaCoCu2 after structural relaxation, with properties calculated at the PBE-GGA level. Values from VASP.

Summary:
crystal system	tetragonal
density	7.13	g cm⁻³
total magnetic moment	1.469	μB per formula unit
space group	P4mm (99)

Cell and atoms, written as Quantum ESPRESSO input:
```
&SYSTEM
  ibrav = 0, nat = 4, ntyp = 3
/
ATOMIC_SPECIES
Co 58.93 Co.upf
Cu 63.55 Cu.upf
Ba 137.33 Ba.upf
ATOMIC_POSITIONS angstrom
Co 1.627 1.623 5.947
Cu 0.000 0.000 7.077
Cu 1.627 1.623 1.194
Ba 0.000 0.000 3.607
CELL_PARAMETERS angstrom
3.254 0.000 0.000
0.000 3.246 0.000
0.000 0.000 7.130
```

---

Most stable: entry three

---

Entry one
Below is BaCoCu after structural relaxation, with properties calculated at the PBE-GGA level. Values from VASP.

Summary:
crystal system	tetragonal
density	6.66	g cm⁻³
total magnetic moment	1.074	μB per formula unit
space group	I4mm (107)

Cell and atoms, written as Quantum ESPRESSO input:
```
&SYSTEM
  ibrav = 0, nat = 3, ntyp = 3
/
ATOMIC_SPECIES
Cu 63.55 Cu.upf
Ba 137.33 Ba.upf
Co 58.93 Co.upf
ATOMIC_POSITIONS angstrom
Cu -7.603 -0.681 -1.748
Ba -0.007 -0.001 -0.002
Co -2.899 -0.260 -0.667
CELL_PARAMETERS angstrom
-4.795 0.264 -3.495
-5.715 -1.205 1.078
4.890 2.791 1.888
```

---

Entry two
Below is BaCoCu after structural relaxation, with properties calculated at the PBE-GGA level. Values from VASP.

Summary:
crystal system	hexagonal
density	5.98	g cm⁻³
total magnetic moment	1.181	μB per formula unit
space group	P-6m2 (187)

Cell and atoms, written as Quantum ESPRESSO input:
```
&SYSTEM
  ibrav = 0, nat = 3, ntyp = 3
/
ATOMIC_SPECIES
Co 58.93 Co.upf
Ba 137.33 Ba.upf
Cu 63.55 Cu.upf
ATOMIC_POSITIONS angstrom
Co 2.103 1.214 2.357
Ba 0.000 0.000 4.713
Cu 0.000 2.428 2.357
CELL_PARAMETERS angstrom
4.206 0.000 0.000
-2.103 3.642 0.000
0.000 0.000 4.713
```

---

Most stable: entry two

---

Entry one
Below is BaCoCu after structural relaxation, with properties calculated at the PBE-GGA level. Values from VASP.

Summary:
crystal system	cubic
density	4.19	g cm⁻³
total magnetic moment	1.998	μB per formula unit
space group	F-43m (216)

Cell and atoms, written as Quantum ESPRESSO input:
```
&SYSTEM
  ibrav = 0, nat = 3, ntyp = 3
/
ATOMIC_SPECIES
Co 58.93 Co.upf
Ba 137.33 Ba.upf
Cu 63.55 Cu.upf
ATOMIC_POSITIONS angstrom
Co 0.000 0.000 0.000
Ba 2.631 1.519 1.074
Cu 5.262 3.038 2.148
CELL_PARAMETERS angstrom
5.262 0.000 0.000
2.631 4.557 0.000
2.631 1.519 4.296
```

---

Entry two
Below is BaCoCu after structural relaxation, with properties calculated at the PBE-GGA level. Values from VASP.

Summary:
crystal system	cubic
density	5.58	g cm⁻³
total magnetic moment	1.468	μB per formula unit
space group	F-43m (216)

Cell and atoms, written as Quantum ESPRESSO input:
```
&SYSTEM
  ibrav = 0, nat = 3, ntyp = 3
/
ATOMIC_SPECIES
Ba 137.33 Ba.upf
Cu 63.55 Cu.upf
Co 58.93 Co.upf
ATOMIC_POSITIONS angstrom
Ba 4.783 2.761 1.952
Cu 0.000 0.000 0.000
Co 2.391 1.381 0.976
CELL_PARAMETERS angstrom
4.783 0.000 0.000
2.391 4.142 0.000
2.391 1.381 3.905
```

---

Most stable: entry two

---

Entry one
Below is BaCoCu3 after structural relaxation, with properties calculated at the PBE-GGA level. Values from VASP.

Summary:
crystal system	cubic
density	6.22	g cm⁻³
total magnetic moment	1.298	μB per formula unit
space group	Pm-3m (221)

Cell and atoms, written as Quantum ESPRESSO input:
```
&SYSTEM
  ibrav = 0, nat = 5, ntyp = 3
/
ATOMIC_SPECIES
Cu 63.55 Cu.upf
Ba 137.33 Ba.upf
Co 58.93 Co.upf
ATOMIC_POSITIONS angstrom
Cu 2.346 0.000 0.000
Cu 0.000 2.346 0.000
Ba 2.346 2.346 2.346
Co 0.000 0.000 0.000
Cu 0.000 0.000 2.346
CELL_PARAMETERS angstrom
4.693 0.000 0.000
0.000 4.693 0.000
0.000 0.000 4.693
```

---

Entry two
Below is BaCoCu3 after structural relaxation, with properties calculated at the PBE-GGA level. Values from VASP.

Summary:
crystal system	cubic
density	3.91	g cm⁻³
total magnetic moment	2.145	μB per formula unit
space group	Pm-3m (221)

Cell and atoms, written as Quantum ESPRESSO input:
```
&SYSTEM
  ibrav = 0, nat = 5, ntyp = 3
/
ATOMIC_SPECIES
Cu 63.55 Cu.upf
Co 58.93 Co.upf
Ba 137.33 Ba.upf
ATOMIC_POSITIONS angstrom
Cu 0.000 2.738 0.000
Cu 0.000 0.000 2.738
Co 2.738 2.738 2.738
Ba 0.000 0.000 0.000
Cu 2.738 0.000 0.000
CELL_PARAMETERS angstrom
5.476 0.000 0.000
0.000 5.476 0.000
0.000 0.000 5.476
```

---

Most stable: entry one